(1)
The following is a DFT calculation (GGA-PBE) of a geometry-optimized Th3Ag5Au12 structure.

Energy of formation in eV per atom: 0.0465

Lattice parameters (Å, degrees): 16.3684 16.3684 16.3684 90.00 90.00 90.00
Space group Ia-3d (No. 230)
Inequivalent atoms, fractional coordinates:
Th  0.0000  0.2500  0.1250
Ag  0.0000  0.0000  0.0000
Ag  0.0000  0.2500  0.3750
Au  0.0141  0.0718  0.6504

***

(2)
The following is a DFT calculation (GGA-PBE) of a geometry-optimized ThAg4Au structure.

Energy of formation in eV per atom: -0.1692

Lattice parameters (Å, degrees): 7.8625 7.8625 7.8625 90.00 90.00 90.00
Space group F-43m (No. 216)
Inequivalent atoms, fractional coordinates:
Th  0.0000  0.0000  0.0000
Ag  0.1243  0.1243  0.3757
Au  0.2500  0.2500  0.7500

***

(3)
The following is a DFT calculation (GGA-PBE) of a geometry-optimized Th2Ag5Au structure.

Energy of formation in eV per atom: -0.1309

Lattice parameters (Å, degrees): 4.0418 18.1662 9.9346 90.00 90.00 90.00
Space group Cmcm (No. 63)
Inequivalent atoms, fractional coordinates:
Th  0.0000  0.0000  0.0000
Th  0.0000  0.1796  0.2500
Ag  0.0000  0.2109  0.6035
Ag  0.0000  0.3668  0.5250
Ag  0.0000  0.3848  0.2500
Au  0.0000  0.4610  0.7500

***

(4)
The following is a DFT calculation (GGA-PBE) of a geometry-optimized Th4AgAu2 structure.

Energy of formation in eV per atom: -0.0941

Lattice parameters (Å, degrees): 4.4907 4.4907 35.7364 90.00 90.00 120.00
Space group R-3m (No. 166, hexagonal axes)
Inequivalent atoms, fractional coordinates:
Th  0.0000  0.0000  0.1157
Th  0.0000  0.0000  0.3040
Ag  0.0000  0.0000  0.5000
Au  0.0000  0.0000  0.4048